Computed, not measured: AgAu2 after structural relaxation at the GGA-PBE level of DFT.

```
data_AgAu2
_cell_length_a 2.9238
_cell_length_b 5.1570
_cell_length_c 14.3173
_cell_angle_alpha 90.00
_cell_angle_beta 90.65
_cell_angle_gamma 90.00
_symmetry_space_group_name_H-M 'C 1 2/c 1'
_symmetry_Int_Tables_number 15
loop_
_symmetry_equiv_pos_as_xyz
'x,y,z'
'-x,-y,-z'
'-x,y,-z+1/2'
'x,-y,z+1/2'
'x+1/2,y+1/2,z'
'-x+1/2,-y+1/2,-z'
'-x+1/2,y+1/2,-z+1/2'
'x+1/2,-y+1/2,z+1/2'
loop_
_atom_site_label
_atom_site_fract_x
_atom_site_fract_y
_atom_site_fract_z
Ag1 0.0000 0.0061 0.2500
Au1 0.0006 0.3349 0.4155
```

Spin magnetization   0.000 μB/atom
Final energy   -9.443 eV per formula unit
Excess energy over the best structure of this formula in the dataset   28.8 meV/atom
ΔH_f (0 K)   -0.01 eV/atom